Record 1
Density functional theory data (PBE) for TaCd2 after structural relaxation.

Lattice parameters (Å, degrees): 6.1048 3.0051 13.2758 90.00 90.00 90.00
Closest atoms and distances in Å follow each position.
Space group Pnma (No. 62)
Inequivalent atoms, fractional coordinates:
Ta 0.0975 0.2500 0.0746  4 Ta 2.76-3.01, 1 Cd 2.96
Cd 0.1132 0.2500 0.4184  4 Ta 2.96-3.15, 8 Cd 2.98-3.12
Cd 0.1375 0.2500 0.7476  8 Cd 3.01-3.12, 4 Ta 3.14-3.19

Record 2
Density functional theory data (PBE) for TaCd3 after structural relaxation.

Lattice parameters (Å, degrees): 9.9621 9.9621 2.8120 90.00 90.00 120.00
Closest atoms and distances in Å follow each position.
Space group R-3m (No. 166, hexagonal axes)
Inequivalent atoms, fractional coordinates:
Ta 0.0000 0.0000 0.0000  2 Ta 2.81, 6 Cd 3.02
Cd 0.0000 0.5000 0.0000  6 Cd 2.81-3.02, 2 Ta 3.02

Record 3
Density functional theory data (PBE) for Ta3Cd5 after structural relaxation.

Lattice parameters (Å, degrees): 8.5927 8.5927 5.2232 90.00 90.00 120.00
Closest atoms and distances in Å follow each position.
Space group P6_3/mcm (No. 193)
Inequivalent atoms, fractional coordinates:
Ta 0.0000 0.4189 0.2500  9 Cd 2.89-3.12, 2 Ta 2.96
Cd 0.0000 0.2202 0.7500  5 Ta 3.10-3.12, 6 Cd 3.22-3.28
Cd 0.3333 0.6667 0.0000  2 Cd 2.61, 6 Ta 2.89

| no. | calculated formation energy (eV/atom) |
| --- | --- |
| 1 | 0.2557 |
| 2 | 0.2445 |
| 3 | 0.6176 |